# PBE-GGA TaAl2Rh2, relaxed
# VASP energy = -7.449 eV/atom
# Size of the total moment = 0.07 μB per atom
# Energy above the most stable polymorph in this dataset = 0 meV/atom
# DFT formation energy = -61.8 kJ/mol of atoms
data_TaAl2Rh2
_chemical_formula_sum 'Ta2 Al4 Rh4'
_space_group_name_H-M_alt 'P 4/m b m'
_space_group_IT_number 127
_space_group_name_Hall '-P 4 2ab'
_cell_length_a 7.283
_cell_length_b 7.283
_cell_length_c 2.813
_cell_angle_alpha 90.00
_cell_angle_beta 90.00
_cell_angle_gamma 90.00
loop_
_atom_site_label
_atom_site_type_symbol
_atom_site_fract_x
_atom_site_fract_y
_atom_site_fract_z
Ta1 Ta 0.000 0.000 0.000
Al1 Al 0.129 0.371 0.000
Rh1 Rh 0.168 0.668 0.500